No. 1
Material: Pm2ZnRu
Method: DFT, GGA-PBE
State: relaxed

Output
- formation energy (eV per atom) = -0.245
- total magnetization (μB per atom) = 0.000

Unit cell a=7.1392 b=7.1392 c=7.1392 alpha=90.00 beta=90.00 gamma=90.00
Closest atoms and distances in Å follow each position.
Space group Fm-3m (No. 225)
Inequivalent atoms, fractional coordinates:
Pm 0.2500 0.2500 0.2500 (multiplicity 8)  4 Ru 3.09, 4 Zn 3.09
Zn 0.0000 0.0000 0.0000 (multiplicity 4)  8 Pm 3.09
Ru 0.0000 0.0000 0.5000 (multiplicity 4)  8 Pm 3.09

***

No. 2
Material: YTh2Rh
Method: DFT, GGA-PBE
State: relaxed

Output
- formation energy (eV per atom) = -0.334
- total magnetization (μB per atom) = 0.000

Unit cell a=3.8371 b=3.8371 c=27.9704 alpha=90.00 beta=90.00 gamma=120.00
Closest atoms and distances in Å follow each position.
Space group R-3m (No. 166, hexagonal axes)
Inequivalent atoms, fractional coordinates:
Y 0.0000 0.0000 0.0000 (multiplicity 3)  6 Th 3.62, 6 Y 3.84
Th 0.0000 0.0000 0.2309 (multiplicity 6)  3 Rh 2.85
Rh 0.0000 0.0000 0.5000 (multiplicity 3)  6 Th 2.85

***

No. 3
Material: PmHoTlBi
Method: DFT, GGA-PBE
State: relaxed

Output
- formation energy (eV per atom) = -0.426
- total magnetization (μB per atom) = 0.000

Unit cell a=7.7627 b=7.7627 c=7.7627 alpha=90.00 beta=90.00 gamma=90.00
Closest atoms and distances in Å follow each position.
Space group F-43m (No. 216)
Inequivalent atoms, fractional coordinates:
Pm 0.0000 0.0000 0.0000 (multiplicity 4)  4 Tl 3.36, 4 Bi 3.36
Ho 0.0000 0.0000 0.5000 (multiplicity 4)  4 Tl 3.36, 4 Bi 3.36
Tl 0.2500 0.2500 0.2500 (multiplicity 4)  4 Ho 3.36, 4 Pm 3.36
Bi 0.2500 0.2500 0.7500 (multiplicity 4)  4 Ho 3.36, 4 Pm 3.36

***

No. 4
Material: CaCe3Pr2Te6
Method: DFT, GGA-PBE
State: relaxed

Output
- formation energy (no corrections) (eV per atom) = -1.43
- total magnetization (μB per atom) = 0.312

Unit cell a=19.7244 b=4.4849 c=9.0755 alpha=90.00 beta=103.85 gamma=90.00
Closest atoms and distances in Å follow each position.
Space group C2/m (No. 12)
Inequivalent atoms, fractional coordinates:
Ca 0.0000 0.0000 0.0000 (multiplicity 2)  6 Te 3.14-3.16
Ce 0.0000 0.0000 0.5000 (multiplicity 2)  6 Te 3.15-3.22
Ce 0.1686 0.5000 0.8331 (multiplicity 4)  6 Te 3.16-3.23
Pr 0.1700 0.5000 0.3402 (multiplicity 4)  6 Te 3.17-3.26
Te 0.9999 0.5000 0.2453 (multiplicity 4)  2 Ca 3.16, 3 Ce 3.22-3.23, 1 Pr 3.26
Te 0.1642 0.0000 0.0816 (multiplicity 4)  1 Ca 3.14, 3 Ce 3.20, 2 Pr 3.23
Te 0.1645 0.0000 0.5860 (multiplicity 4)  3 Ce 3.15-3.16, 3 Pr 3.17-3.18

***

No. 5
Material: ZrPa2Rh5
Method: DFT, GGA-PBE
State: relaxed

Output
- formation energy (eV per atom) = -0.808
- total magnetization (μB per atom) = 0.000

Unit cell a=5.8334 b=11.3905 c=4.3801 alpha=90.00 beta=90.00 gamma=90.00
Closest atoms and distances in Å follow each position.
Space group Pbam (No. 55)
Inequivalent atoms, fractional coordinates:
Zr 0.0000 0.0000 0.0000 (multiplicity 2)  8 Rh 2.71-2.92
Pa 0.1548 0.3539 0.5000 (multiplicity 4)  10 Rh 2.82-3.09
Rh 0.0000 0.5000 0.0000 (multiplicity 2)  4 Pa 2.89, 2 Zr 2.92, 6 Rh 2.92-3.13
Rh 0.1042 0.7506 0.0000 (multiplicity 4)  4 Pa 2.86-2.91, 1 Zr 2.91, 7 Rh 2.92-3.19
Rh 0.1781 0.1063 0.5000 (multiplicity 4)  2 Zr 2.71, 2 Pa 2.82, 2 Rh 3.02

***

No. 6
Material: Al2AsRu
Method: DFT, GGA-PBE
State: relaxed

Output
- formation energy (eV per atom) = -0.083
- total magnetization (μB per atom) = 0.000

Unit cell a=3.9884 b=3.9884 c=7.6797 alpha=90.00 beta=90.00 gamma=90.00
Closest atoms and distances in Å follow each position.
Space group I-4m2 (No. 119)
Inequivalent atoms, fractional coordinates:
Al 0.0000 0.0000 0.0000 (multiplicity 2)  4 As 2.77, 4 Al 2.77, 4 Ru 2.82
Al 0.0000 0.5000 0.2500 (multiplicity 2)  4 Ru 2.77, 4 Al 2.77, 4 As 2.82
As 0.0000 0.5000 0.7500 (multiplicity 2)  4 Ru 2.77, 8 Al 2.77-2.82
Ru 0.0000 0.0000 0.5000 (multiplicity 2)  4 As 2.77, 8 Al 2.77-2.82

***

No. 7
Material: BeMoPd
Method: DFT, GGA-PBE
State: relaxed

Output
- formation energy (eV per atom) = -0.140
- total magnetization (μB per atom) = 0.000

Unit cell a=9.8702 b=2.9938 c=5.7142 alpha=90.00 beta=109.74 gamma=90.00
Closest atoms and distances in Å follow each position.
Space group C2/m (No. 12)
Inequivalent atoms, fractional coordinates:
Be 0.0000 0.0000 0.0000 (multiplicity 2)  4 Pd 2.44, 4 Mo 2.57
Be 0.0000 0.0000 0.5000 (multiplicity 2)  4 Pd 2.40
Mo 0.1759 0.5000 0.3321 (multiplicity 4)  2 Mo 2.48, 4 Be 2.57-2.70, 2 Pd 2.76
Pd 0.1347 0.5000 0.8224 (multiplicity 4)  4 Be 2.40-2.44

***

No. 8
Material: YBeSb2
Method: DFT, GGA-PBE
State: relaxed

Output
- formation energy (no corrections) (eV per atom) = -0.35
- total magnetization (μB per atom) = 0.000

Unit cell a=7.3709 b=7.3709 c=7.0764 alpha=90.00 beta=90.00 gamma=90.00
Closest atoms and distances in Å follow each position.
Space group I-42d (No. 122)
Inequivalent atoms, fractional coordinates:
Y 0.0000 0.0000 0.0000 (multiplicity 4)  8 Sb 3.13-3.49
Be 0.0000 0.0000 0.5000 (multiplicity 4)  4 Sb 2.43
Sb 0.1785 0.2500 0.6250 (multiplicity 8)  2 Be 2.43